(1)
The following is a DFT calculation (PBE-GGA) of a geometry-optimized DyGeAuSeS2 structure.

Cell lengths 7.2501, 7.2501, 10.3608 Å; angles 90.00, 90.00, 147.75 degrees
Closest atoms and distances in Å follow each position.
Fractional coordinates of all 12 atoms:
Dy 0.0000 0.0000 0.0000  4 S 2.76, 2 Se 2.80
Dy 0.0000 0.0000 0.5000  4 S 2.76, 2 Se 2.80
Ge 0.3008 0.6992 0.7500  2 Se 2.64, 2 Au 2.88
Ge 0.6992 0.3008 0.2500  2 Se 2.64, 2 Au 2.88
Au 0.3466 0.6534 0.2500  2 S 2.36
Au 0.6534 0.3466 0.7500  2 S 2.36
Se 0.0767 0.9233 0.2500  2 Ge 2.64, 2 Dy 2.80
Se 0.9233 0.0767 0.7500  2 Ge 2.64, 2 Dy 2.80
S 0.3660 0.6340 0.0235  1 Au 2.36
S 0.3660 0.6340 0.4765  1 Au 2.36
S 0.6340 0.3660 0.5235  1 Au 2.36
S 0.6340 0.3660 0.9765  1 Au 2.36

E_tot (eV/cell): -58.64
Symmetry: Cmcm


(2)
The following is a DFT calculation (PBE-GGA) of a geometry-optimized DySiNO structure.

Cell lengths 3.7320, 4.8265, 5.2574 Å; angles 90.00, 90.00, 90.00 degrees
Closest atoms and distances in Å follow each position.
Fractional coordinates of all 8 atoms:
Dy 0.0000 0.2384 0.0000  2 O 2.31-2.52, 4 N 2.56
Dy 0.0000 0.7616 0.5000  2 O 2.31-2.52, 4 N 2.56
Si 0.5000 0.2523 0.5007  2 N 1.79, 2 O 1.87
Si 0.5000 0.7477 0.0007  2 N 1.79, 2 O 1.87
N 0.5000 0.0003 0.2506  2 Si 1.79
N 0.5000 0.9997 0.7506  2 Si 1.79
O 0.0000 0.2828 0.5018  2 Si 1.87
O 0.0000 0.7172 0.0018  2 Si 1.87

E_tot (eV/cell): -60.03
Symmetry: Pmc2_1


(3)
The following is a DFT calculation (PBE-GGA) of a geometry-optimized GeTePdO structure.

Cell lengths 3.8779, 3.8779, 9.6609 Å; angles 90.00, 90.00, 90.00 degrees
Closest atoms and distances in Å follow each position.
Fractional coordinates of all 8 atoms:
Ge 0.2500 0.2500 0.0917  4 O 2.13
Ge 0.7500 0.7500 0.9083  4 O 2.13
Te 0.2500 0.2500 0.6266  5 Pd 2.73-2.76
Te 0.7500 0.7500 0.3734  5 Pd 2.73-2.76
Pd 0.2500 0.2500 0.3440  1 Ge 2.44
Pd 0.7500 0.7500 0.6560  1 Ge 2.44
O 0.2500 0.7500 0.0000  4 Ge 2.13
O 0.7500 0.2500 0.0000  4 Ge 2.13

E_tot (eV/cell): -41.37
Symmetry: P4/nmm


(4)
The following is a DFT calculation (PBE-GGA) of a geometry-optimized CsK2HgF6 structure.

Cell lengths 6.6096, 6.6096, 6.6096 Å; angles 60.00, 60.00, 60.00 degrees
Closest atoms and distances in Å follow each position.
Fractional coordinates of all 10 atoms:
Cs 0.0000 0.0000 0.0000  6 F 2.52
K 0.2500 0.2500 0.2500  12 F 3.31
K 0.7500 0.7500 0.7500  12 F 3.31
Hg 0.5000 0.5000 0.5000  6 F 2.15
F 0.2697 0.2697 0.7303  1 Hg 2.15
F 0.2697 0.7303 0.2697  1 Hg 2.15
F 0.2697 0.7303 0.7303  1 Hg 2.15
F 0.7303 0.2697 0.2697  1 Hg 2.15
F 0.7303 0.2697 0.7303  1 Hg 2.15
F 0.7303 0.7303 0.2697  1 Hg 2.15

E_tot (eV/cell): -34.30
Symmetry: Fm-3m


(5)
The following is a DFT calculation (PBE-GGA) of a geometry-optimized Er3NiTe5 structure.

Cell lengths 8.5902, 8.5902, 4.0535 Å; angles 90.00, 90.00, 120.00 degrees
Closest atoms and distances in Å follow each position.
Fractional coordinates of all 9 atoms:
Er 0.0000 0.2671 0.0000  2 Ni 3.06, 6 Te 3.14-3.19
Er 0.2671 0.0000 0.0000  2 Ni 3.06, 6 Te 3.14-3.19
Er 0.7329 0.7329 0.0000  2 Ni 3.06, 6 Te 3.14-3.19
Ni 0.0000 0.0000 0.5000  3 Te 2.48
Te 0.0000 0.7111 0.5000  1 Ni 2.48
Te 0.2889 0.2889 0.5000  1 Ni 2.48
Te 0.3333 0.6667 0.0000  3 Er 3.19
Te 0.6667 0.3333 0.0000  3 Er 3.19
Te 0.7111 0.0000 0.5000  1 Ni 2.48

E_tot (eV/cell): -42.76
Symmetry: P-62m


(6)
The following is a DFT calculation (PBE-GGA) of a geometry-optimized Ba4InHg structure.

Cell lengths 4.2736, 4.2736, 15.1770 Å; angles 90.00, 90.00, 90.00 degrees
Closest atoms and distances in Å follow each position.
Fractional coordinates of all 6 atoms:
Ba 0.0000 0.0000 0.1292  4 Hg 3.60, 1 Ba 3.92
Ba 0.0000 0.0000 0.8708  4 Hg 3.60, 1 Ba 3.92
Ba 0.5000 0.5000 0.3667  4 In 3.64, 1 Ba 4.05
Ba 0.5000 0.5000 0.6333  4 In 3.64, 1 Ba 4.05
In 0.0000 0.0000 0.5000  8 Ba 3.64
Hg 0.5000 0.5000 0.0000  8 Ba 3.60

E_tot (eV/cell): -12.79
Symmetry: P4/mmm


(7)
The following is a DFT calculation (PBE-GGA) of a geometry-optimized LuSc2 structure.

Cell lengths 4.4362, 4.4362, 8.0111 Å; angles 90.00, 90.00, 90.00 degrees
Closest atoms and distances in Å follow each position.
Fractional coordinates of all 6 atoms:
Lu 0.2500 0.2500 0.1919  9 Sc 3.14-3.32
Lu 0.7500 0.7500 0.8081  9 Sc 3.14-3.32
Sc 0.2500 0.2500 0.7922  5 Lu 3.14-3.20, 4 Sc 3.23
Sc 0.2500 0.7500 0.5000  8 Sc 3.14-3.23, 4 Lu 3.32
Sc 0.7500 0.2500 0.5000  8 Sc 3.14-3.23, 4 Lu 3.32
Sc 0.7500 0.7500 0.2078  5 Lu 3.14-3.20, 4 Sc 3.23

Energy of formation from the pure elements (eV/atom): 0.220
E_tot (eV/cell): -33.04
Symmetry: P4/nmm


(8)
The following is a DFT calculation (PBE-GGA) of a geometry-optimized HfFeAsAu structure.

Cell lengths 4.5902, 4.5902, 4.5902 Å; angles 60.00, 60.00, 60.00 degrees
Closest atoms and distances in Å follow each position.
Fractional coordinates of all 4 atoms:
Hf 0.0000 0.0000 0.0000  4 Fe 2.81, 4 As 2.81
Fe 0.7500 0.7500 0.7500  4 Hf 2.81, 4 Au 2.81
As 0.2500 0.2500 0.2500  4 Hf 2.81, 4 Au 2.81
Au 0.5000 0.5000 0.5000  4 Fe 2.81, 4 As 2.81

E_tot (eV/cell): -26.09
Symmetry: F-43m


(9)
The following is a DFT calculation (PBE-GGA) of a geometry-optimized NaTaAuO3 structure.

Cell lengths 10.3792, 3.0326, 10.8880 Å; angles 90.00, 90.00, 90.00 degrees
Closest atoms and distances in Å follow each position.
Fractional coordinates of all 24 atoms:
Na 0.2381 0.2500 0.1105  3 O 2.28-2.34
Na 0.2619 0.7500 0.6105  3 O 2.28-2.34
Na 0.7381 0.2500 0.3895  3 O 2.28-2.34
Na 0.7619 0.7500 0.8895  3 O 2.28-2.34
Ta 0.0508 0.7500 0.3655  3 O 1.79-1.99
Ta 0.4492 0.2500 0.8655  3 O 1.79-1.99
Ta 0.5508 0.7500 0.1345  3 O 1.79-1.99
Ta 0.9492 0.2500 0.6345  3 O 1.79-1.99
Au 0.0590 0.7500 0.9142  1 O 2.37
Au 0.4410 0.2500 0.4142  1 O 2.37
Au 0.5590 0.7500 0.5858  1 O 2.37
Au 0.9410 0.2500 0.0858  1 O 2.37
O 0.0554 0.7500 0.6966  2 Ta 1.99
O 0.1112 0.2500 0.4815  2 Ta 2.07
O 0.1805 0.7500 0.2575  1 Ta 1.79
O 0.3195 0.2500 0.7575  1 Ta 1.79
O 0.3888 0.7500 0.9815  2 Ta 2.07
O 0.4446 0.2500 0.1966  2 Ta 1.99
O 0.5554 0.7500 0.8034  2 Ta 1.99
O 0.6112 0.2500 0.0185  2 Ta 2.07
O 0.6805 0.7500 0.2425  1 Ta 1.79
O 0.8195 0.2500 0.7425  1 Ta 1.79
O 0.8888 0.7500 0.5185  2 Ta 2.07
O 0.9446 0.2500 0.3034  2 Ta 1.99

E_tot (eV/cell): -170.99
Symmetry: Pnma


(10)
The following is a DFT calculation (PBE-GGA) of a geometry-optimized AsOsPdO structure.

Cell lengths 4.2062, 4.2062, 6.5347 Å; angles 90.00, 90.00, 90.00 degrees
Closest atoms and distances in Å follow each position.
Fractional coordinates of all 8 atoms:
As 0.2500 0.2500 0.1897  4 Os 2.44, 1 Pd 2.54
As 0.7500 0.7500 0.8103  4 Os 2.44, 1 Pd 2.54
Os 0.2500 0.7500 0.0000  4 As 2.44
Os 0.7500 0.2500 0.0000  4 As 2.44
Pd 0.2500 0.2500 0.5776  4 O 2.16
Pd 0.7500 0.7500 0.4224  4 O 2.16
O 0.2500 0.7500 0.5000  4 Pd 2.16
O 0.7500 0.2500 0.5000  4 Pd 2.16

E_tot (eV/cell): -50.81
Symmetry: P4/nmm


(11)
The following is a DFT calculation (PBE-GGA) of a geometry-optimized PrTlHgTe3 structure.

Cell lengths 12.7866, 4.7011, 13.4613 Å; angles 90.00, 90.00, 90.00 degrees
Closest atoms and distances in Å follow each position.
Fractional coordinates of all 24 atoms:
Pr 0.0288 0.2500 0.1875  7 Te 3.25-3.63
Pr 0.4712 0.7500 0.6875  7 Te 3.25-3.63
Pr 0.5288 0.2500 0.3125  7 Te 3.25-3.63
Pr 0.9712 0.7500 0.8125  7 Te 3.25-3.63
Tl 0.1873 0.2500 0.4884  7 Te 3.48-3.77, 2 Hg 3.55
Tl 0.3127 0.7500 0.9884  7 Te 3.48-3.77, 2 Hg 3.55
Tl 0.6873 0.2500 0.0116  7 Te 3.48-3.77, 2 Hg 3.55
Tl 0.8127 0.7500 0.5116  7 Te 3.48-3.77, 2 Hg 3.55
Hg 0.2439 0.7500 0.2978  4 Te 2.83-2.90
Hg 0.2561 0.2500 0.7978  4 Te 2.83-2.90
Hg 0.7439 0.7500 0.2022  4 Te 2.83-2.90
Hg 0.7561 0.2500 0.7022  4 Te 2.83-2.90
Te 0.0306 0.7500 0.3542  1 Hg 2.83
Te 0.0881 0.2500 0.9376  1 Hg 2.86
Te 0.2165 0.7500 0.6768  2 Hg 2.90
Te 0.2835 0.2500 0.1768  2 Hg 2.90
Te 0.4119 0.7500 0.4376  1 Hg 2.86
Te 0.4694 0.2500 0.8542  1 Hg 2.83
Te 0.5306 0.7500 0.1458  1 Hg 2.83
Te 0.5881 0.2500 0.5624  1 Hg 2.86
Te 0.7165 0.7500 0.8232  2 Hg 2.90
Te 0.7835 0.2500 0.3232  2 Hg 2.90
Te 0.9119 0.7500 0.0624  1 Hg 2.86
Te 0.9694 0.2500 0.6458  1 Hg 2.83

E_tot (eV/cell): -84.45
Symmetry: Pnma


(12)
The following is a DFT calculation (PBE-GGA) of a geometry-optimized Li5HgO4 structure.

Cell lengths 5.2734, 3.3450, 5.4475 Å; angles 90.00, 93.36, 90.00 degrees
Closest atoms and distances in Å follow each position.
Fractional coordinates of all 10 atoms:
Li 0.0000 0.0000 0.0000  2 O 2.10
Li 0.3499 0.5000 0.1584  4 O 1.89-2.04
Li 0.3718 0.0000 0.6726  4 O 1.94-2.05
Li 0.6282 0.0000 0.3274  4 O 1.94-2.05
Li 0.6501 0.5000 0.8416  4 O 1.89-2.04
Hg 0.0000 0.5000 0.5000  2 O 2.15
O 0.2593 0.0000 0.3065  5 Li 1.93-2.10
O 0.2617 0.5000 0.8174  4 Li 1.89-2.04
O 0.7383 0.5000 0.1826  4 Li 1.89-2.04
O 0.7407 0.0000 0.6935  5 Li 1.93-2.10

E_tot (eV/cell): -43.34
Symmetry: P2/m